## Te2OsRu (PBE-GGA)

Data for a relaxed Te2OsRu crystal.

```
Te2OsRu
1.0
5.4787 -0.0089 -0.0006
1.9159 5.1328 0.0006
-2.8232 -3.8234 2.7253
Te Ru Os
2 1 1
direct
0.9988 0.9988 0.0000
0.5012 0.5012 0.0000
0.2500 0.7500 0.5000
0.7500 0.2500 0.5000
```

Calculated values
V   19.173 A^3/atom
Polymorph energy (0 for the lowest one)   735.5 meV per atom
Formation energy from raw total energies   1.031 eV per atom
Fermi-level density of states   4.58 states/eV/cell
E_tot   -5.67 eV per atom